Record 1
Material: ReSbPt2
Method: DFT, PBEsol
State: relaxed

Cell: 8.9433 2.9322 5.1081 Å, 90.00 100.83 90.00°
Space group Cm (No. 8)
Asymmetric unit:
Re 0.0000 0.0000 0.0000 [2 per cell]
Sb 0.2477 0.5000 0.2858 [2 per cell]
Pt 0.0035 0.5000 0.5487 [2 per cell]
Pt 0.2569 0.0000 0.7938 [2 per cell]

Summary:
The calculation puts the formation energy from raw total energies at 0.66 eV/f.u.



Record 2
Material: ReSbPt3
Method: DFT, PBEsol
State: relaxed

Cell: 4.7817 4.7817 4.7817 Å, 90.00 90.00 90.00°
Space group Pm-3m (No. 221)
Asymmetric unit:
Re 0.0000 0.0000 0.0000 [1 per cell]
Sb 0.5000 0.5000 0.5000 [1 per cell]
Pt 0.0000 0.0000 0.5000 [3 per cell]

Summary:
The calculation puts the formation energy from raw total energies at 5.84 eV/f.u.